# KCrRe2O8

A relaxed structure of KCrRe2O8 (PBE+U, Alexandria).

a = 5.6910 Å, b = 5.6910 Å, c = 7.6202 Å
α = 90.00°, β = 90.00°, γ = 120.00°
Space group P-3 (No. 147)
Unique sites:
K  0.0000  0.0000  0.0000 (multiplicity 1)
Cr  0.0000  0.0000  0.5000 (multiplicity 1)
Re  0.3333  0.6667  0.7481 (multiplicity 2)
O  0.0931  0.3346  0.6739 (multiplicity 6)
O  0.3333  0.6667  0.9785 (multiplicity 2)

Values from the calculation:
- Volume: 17.81 Å³ per atom
- E: -93.1 eV per cell